No. 1
A plane-wave DFT calculation with GGA-PBE was carried out for a geometry-optimized CsZr2 structure.

abc: 4.973 4.973 4.973
angles: 60.00 60.00 60.00
Fractional coordinates of all 3 atoms:
Cs  0.000  0.000  0.000
Zr  0.250  0.250  0.250
Zr  0.750  0.750  0.750

## Properties
The total energy comes out at -11.865 eV/cell. Its total magnetization is 0.05 μB per cell.

No. 2
A plane-wave DFT calculation with GGA-PBE was carried out for a geometry-optimized Tb3NiSn3Ir2 structure.

abc: 7.505 7.505 3.878
angles: 90.00 90.00 120.00
Fractional coordinates of all 9 atoms:
Sn  0.254  0.000  0.500
Sn  0.746  0.746  0.500
Sn  0.000  0.254  0.500
Ni  0.000  0.000  0.000
Ir  0.333  0.667  0.500
Ir  0.667  0.333  0.500
Tb  0.000  0.594  0.000
Tb  0.406  0.406  0.000
Tb  0.594  0.000  0.000

## Properties
The total energy comes out at -56.303 eV/cell. Its total magnetization is 0.00 μB per cell.

No. 3
A plane-wave DFT calculation with GGA-PBE was carried out for a geometry-optimized KBPt structure.

abc: 4.325 4.325 4.325
angles: 60.00 60.00 60.00
Fractional coordinates of all 3 atoms:
Pt  0.750  0.750  0.750
B  0.000  0.000  0.000
K  0.250  0.250  0.250

## Properties
The total energy comes out at -10.381 eV/cell. Its total magnetization is 0.00 μB per cell.

No. 4
A plane-wave DFT calculation with GGA-PBE was carried out for a geometry-optimized Lu4Hf2Ge structure.

abc: 4.446 4.446 9.224
angles: 90.00 90.00 90.00
Fractional coordinates of all 7 atoms:
Ge  0.500  0.500  0.000
Lu  0.000  0.500  0.754
Lu  0.500  0.000  0.754
Lu  0.500  0.000  0.246
Lu  0.000  0.500  0.246
Hf  0.000  0.000  0.000
Hf  0.500  0.500  0.500

## Properties
The total energy comes out at -40.739 eV/cell. Its total magnetization is 0.28 μB per cell.

No. 5
A plane-wave DFT calculation with GGA-PBE was carried out for a geometry-optimized GdEr2Zn3CdHg2 structure.

abc: 4.426 7.231 7.231
angles: 120.38 90.00 90.00
Fractional coordinates of all 9 atoms:
Zn  0.500  0.000  0.765
Zn  0.500  0.765  0.000
Zn  0.500  0.237  0.237
Gd  0.000  0.573  0.573
Er  0.000  0.998  0.427
Er  0.000  0.427  0.998
Hg  0.500  0.330  0.667
Hg  0.500  0.667  0.330
Cd  0.000  0.004  0.004

## Properties
Its formation energy is -0.3445 eV per atom. The total energy comes out at -22.166 eV/cell. Its total magnetization is 0.02 μB per cell.

No. 6
A plane-wave DFT calculation with GGA-PBE was carried out for a geometry-optimized La2Sn5Pd3 structure.

abc: 9.160 9.160 9.160
angles: 106.12 89.13 137.53
Fractional coordinates of all 20 atoms:
Sn  0.250  0.750  0.500
Sn  0.593  0.337  0.930
Sn  0.476  0.250  0.226
Sn  0.524  0.750  0.774
Sn  0.024  0.250  0.774
Sn  0.407  0.663  0.070
Sn  0.750  0.250  0.500
Sn  0.976  0.750  0.226
Sn  0.093  0.163  0.257
Sn  0.907  0.837  0.743
Pd  0.140  0.393  0.533
Pd  0.750  0.750  0.000
Pd  0.250  0.250  0.000
Pd  0.360  0.893  0.253
Pd  0.640  0.107  0.747
Pd  0.860  0.607  0.467
La  0.639  0.769  0.409
La  0.861  0.269  0.130
La  0.139  0.731  0.870
La  0.361  0.231  0.591

## Properties
The total energy comes out at -106.073 eV/cell. Its total magnetization is 0.01 μB per cell.